Computed, not measured: Zr2AlIr after structural relaxation at the GGA-PBE level of DFT.

Summary:
- crystal system = monoclinic
- E (eV per atom) = -8.01
- DOS at the Fermi energy (states/eV per cell) = 3.4
- symmetry = P2/m (10)

Cell lengths 3.115, 3.953, 5.983 Å; angles 90.00, 90.33, 90.00 degrees
Element x y z (fractional)
Zr (0.005, 0.000, 0.256)
Zr (0.995, 0.000, 0.744)
Al (0.500, 0.500, 0.000)
Ir (0.500, 0.500, 0.500)